Ta6Ga3B | GGA-PBE | optimized geometry

Summary:
As for the formation energy: -0.10 eV/atom. As for the density of states at the Fermi level: 8.4 states/eV per cell.

Cell lengths 5.049, 7.292, 10.236 Å; angles 90.00, 118.68, 90.00 degrees
Sites, in units of the cell vectors:
Ta (0.040, 0.155, 0.438)
Ta (0.040, 0.345, 0.938)
Ta (0.345, 0.709, 0.431)
Ta (0.345, 0.791, 0.931)
Ta (0.400, 0.046, 0.268)
Ta (0.400, 0.454, 0.768)
Ta (0.600, 0.546, 0.232)
Ta (0.600, 0.954, 0.732)
Ta (0.655, 0.209, 0.069)
Ta (0.655, 0.291, 0.569)
Ta (0.960, 0.655, 0.062)
Ta (0.960, 0.845, 0.562)
Ga (0.000, 0.000, 0.000)
Ga (0.000, 0.500, 0.500)
Ga (0.163, 0.112, 0.772)
Ga (0.163, 0.388, 0.272)
Ga (0.837, 0.612, 0.728)
Ga (0.837, 0.888, 0.228)
B (0.500, 0.000, 0.500)
B (0.500, 0.500, 0.000)